Here is a relaxed Mg2ScSe crystal from the Alexandria database. Energies are from PBE.

POSCAR file:
```
Mg2ScSe
1.0
-3.513 -2.734 -2.775
4.648 -2.324 0.715
-1.234 -1.526 3.066
Mg Sc Se
2 1 1
direct
0.000 0.000 0.000
0.500 0.500 0.000
0.500 0.000 0.500
0.000 0.500 0.500
```

DOS(E_F), states/eV/cell: 2.56
E_tot, eV per cell: -14.56
Space group: Cmmm, No. 65